(1)
Compound: Ho2In3
Source: the Alexandria database
Functional: PBE-GGA
Structure: optimized geometry

Summary:
E_form (meV/atom): -423
V (A^3/atom): 25.9
Calculated density (g/cm3): 8.7
Space-group type: P4/m, No. 83
Offset from the most stable computed form (meV/atom): 0

Lattice parameters (Å, degrees): 7.516 7.516 4.583 90.00 90.00 90.00
Fractional coordinates of all 10 atoms:
Ho1 0.126 0.696 0.000
Ho2 0.304 0.126 0.000
Ho3 0.696 0.874 0.000
Ho4 0.874 0.304 0.000
In1 0.000 0.000 0.500
In2 0.186 0.398 0.500
In3 0.398 0.814 0.500
In4 0.500 0.500 0.000
In5 0.602 0.186 0.500
In6 0.814 0.602 0.500

(2)
Compound: NpAs
Source: the Alexandria database
Functional: PBE-GGA
Structure: optimized geometry

Summary:
E_form (meV/atom): -545
V (A^3/atom): 21.4
Calculated density (g/cm3): 12.1
Space-group type: Pm-3m, No. 221
Offset from the most stable computed form (meV/atom): 139

Lattice parameters (Å, degrees): 3.496 3.496 3.496 90.00 90.00 90.00
Fractional coordinates of all 2 atoms:
Np1 0.000 0.000 0.000
As1 0.500 0.500 0.500

(3)
Compound: ScNb3Cd
Source: the Alexandria database
Functional: PBE-GGA
Structure: optimized geometry

Summary:
E_form (meV/atom): 1685
V (A^3/atom): 25.4
Calculated density (g/cm3): 5.7
Space-group type: Pm-3m, No. 221
Offset from the most stable computed form (meV/atom): 213

Lattice parameters (Å, degrees): 5.028 5.028 5.028 90.00 90.00 90.00
Fractional coordinates of all 5 atoms:
Sc1 0.000 0.000 0.000
Nb1 0.000 0.500 0.500
Nb2 0.500 0.000 0.500
Nb3 0.500 0.500 0.000
Cd1 0.500 0.500 0.500

(4)
Compound: Ni2RhAu
Source: the Alexandria database
Functional: PBE-GGA
Structure: optimized geometry

Summary:
E_form (meV/atom): 168
V (A^3/atom): 13.9
Calculated density (g/cm3): 12.5
Space-group type: R3m, No. 160

Lattice parameters (Å, degrees): 8.771 8.771 8.771 17.89 17.89 17.89
Fractional coordinates of all 4 atoms:
Ni1 0.000 0.000 0.000
Ni2 0.260 0.260 0.260
Rh1 0.745 0.745 0.745
Au1 0.507 0.507 0.507

(5)
Compound: ZrIr2Se
Source: the Alexandria database
Functional: PBE-GGA
Structure: optimized geometry

Summary:
Formation energy without anion corrections (eV per atom): -0.43
V (A^3/atom): 17.1
Calculated density (g/cm3): 13.5
Space-group type: Pm, No. 6

Lattice parameters (Å, degrees): 5.569 4.445 5.843 90.00 109.06 90.00
Fractional coordinates of all 8 atoms:
Zr1 0.000 0.000 0.000
Zr2 0.379 0.500 0.810
Ir1 0.358 0.500 0.300
Ir2 0.516 0.000 0.584
Ir3 0.526 0.000 0.119
Ir4 0.836 0.500 0.647
Se1 0.062 0.000 0.552
Se2 0.845 0.500 0.194

(6)
Compound: SbTe2Br
Source: the Alexandria database
Functional: PBE-GGA
Structure: optimized geometry

Summary:
Formation energy without anion corrections (eV per atom): 0.21
V (A^3/atom): 27.6
Calculated density (g/cm3): 6.9
Space-group type: Fm-3m, No. 225
Offset from the most stable computed form (meV/atom): 390

Lattice parameters (Å, degrees): 5.383 5.383 5.383 60.00 60.00 60.00
Fractional coordinates of all 4 atoms:
Sb1 0.000 0.000 0.000
Te1 0.250 0.250 0.250
Te2 0.750 0.750 0.750
Br1 0.500 0.500 0.500

(7)
Compound: BaPmEr4Se8
Source: the Alexandria database
Functional: PBE-GGA
Structure: optimized geometry

Summary:
Formation energy without anion corrections (eV per atom): -1.76
V (A^3/atom): 32.1
Calculated density (g/cm3): 5.9
Space-group type: R3m, No. 160

Lattice parameters (Å, degrees): 8.649 8.649 8.649 59.22 59.22 59.22
Fractional coordinates of all 14 atoms:
Ba1 0.000 0.000 0.000
Pm1 0.370 0.370 0.370
Er1 0.371 0.371 0.876
Er2 0.371 0.876 0.371
Er3 0.747 0.747 0.747
Er4 0.876 0.371 0.371
Se1 0.133 0.133 0.572
Se2 0.133 0.572 0.133
Se3 0.140 0.620 0.620
Se4 0.141 0.141 0.141
Se5 0.572 0.133 0.133
Se6 0.615 0.615 0.615
Se7 0.620 0.140 0.620
Se8 0.620 0.620 0.140

(8)
Compound: NaNd2P2N6
Source: the Alexandria database
Functional: PBE-GGA
Structure: optimized geometry

Summary:
Formation energy without anion corrections (eV per atom): -0.69
V (A^3/atom): 16.8
Calculated density (g/cm3): 4.1
Space-group type: P-1, No. 2

Lattice parameters (Å, degrees): 5.813 6.393 6.394 99.84 116.02 110.16
Fractional coordinates of all 11 atoms:
Na1 0.000 0.000 0.000
Nd1 0.382 0.295 0.670
Nd2 0.618 0.705 0.330
P1 0.294 0.744 0.740
P2 0.706 0.256 0.260
N1 0.142 0.907 0.695
N2 0.251 0.566 0.880
N3 0.496 0.732 0.639
N4 0.504 0.268 0.361
N5 0.749 0.434 0.120
N6 0.858 0.093 0.305